Density functional theory data (PBE) for crystalline K3DyTm2O6 at its relaxed geometry.

Cell lengths 5.962, 5.962, 6.558 Å; angles 98.72, 98.72, 120.00 degrees
Element x y z (fractional)
1 K 0.000 0.000 0.000
2 K 0.333 0.667 0.000
3 K 0.667 0.333 0.000
4 Dy 0.500 0.500 0.500
5 Tm 0.167 0.833 0.500
6 Tm 0.833 0.167 0.500
7 O 0.101 0.439 0.316
8 O 0.224 0.224 0.684
9 O 0.439 0.101 0.316
10 O 0.561 0.899 0.684
11 O 0.776 0.776 0.316
12 O 0.899 0.561 0.684

For the total energy, the calculation gives -80.21 eV for the cell shown. Its space group is C2/m.